{"formula": "SrGa2SiN4", "functional": "PBE", "state": "relaxed", "lattice_angstrom": [[5.1132, 0.2126, 0.0000], [-0.2123, 5.1132, 0.0000], [-2.4505, -2.6629, 3.8190]], "species": ["Sr", "Ga", "Ga", "Si", "N", "N", "N", "N"], "frac_coords": [[0.0000, 0.0000, 0.0000], [0.7500, 0.2500, 0.5001], [0.2500, 0.7500, 0.5001], [0.5000, 0.5000, 0.0001], [0.5560, 0.5560, 0.7235], [0.4441, 0.8326, 0.2767], [0.8326, 0.4441, 0.2767], [0.1675, 0.1675, 0.7235]], "raw_formation_energy_ev_per_atom": -0.6397}